# 1
{"formula": "YMgFeSb", "functional": "PBE", "state": "optimized geometry", "lattice": [[0.000, 3.496, 3.496], [3.496, 0.000, 3.496], [3.496, 3.496, 0.000]], "species": ["Y", "Mg", "Sb", "Fe"], "frac_coords": [[0.250, 0.250, 0.250], [0.750, 0.750, 0.750], [0.000, 0.000, 0.000], [0.500, 0.500, 0.500]], "energy_ev_per_fu": -20.582, "polymorph_energy_mev_per_atom": 0, "volume_a3_per_atom": 21.36}

# 2
{"formula": "K2NiHgBr6", "functional": "PBE", "state": "optimized geometry", "lattice": [[0.000, 5.337, 5.337], [5.337, 0.000, 5.337], [5.337, 5.337, 0.000]], "species": ["Hg", "Br", "Br", "Ni", "Br", "Br", "K", "Br", "K", "Br"], "frac_coords": [[0.000, 0.000, 0.000], [0.266, 0.734, 0.266], [0.734, 0.734, 0.266], [0.500, 0.500, 0.500], [0.734, 0.266, 0.266], [0.266, 0.266, 0.734], [0.250, 0.250, 0.250], [0.266, 0.734, 0.734], [0.750, 0.750, 0.750], [0.734, 0.266, 0.734]], "energy_ev_per_fu": -26.710, "volume_a3_per_atom": 30.40}

# 3
{"formula": "Cs2HgBiCl6", "functional": "PBE", "state": "optimized geometry", "lattice": [[7.754, -1.003, -1.027], [3.305, -6.998, 1.511], [2.646, -4.473, -5.930]], "species": ["Bi", "Cl", "Cl", "Cl", "Cl", "Cs", "Hg", "Cs", "Cl", "Cl"], "frac_coords": [[0.000, 0.000, 0.000], [0.756, 0.756, 0.244], [0.244, 0.756, 0.756], [0.244, 0.244, 0.756], [0.756, 0.244, 0.756], [0.250, 0.250, 0.250], [0.500, 0.500, 0.500], [0.750, 0.750, 0.750], [0.756, 0.244, 0.244], [0.244, 0.756, 0.244]], "energy_ev_per_fu": -29.985, "volume_a3_per_atom": 34.67}

# 4
{"formula": "Pa2Re2C3", "functional": "PBE", "state": "optimized geometry", "lattice": [[6.013, -1.591, 0.000], [6.013, 1.591, 0.000], [-2.202, 0.000, 5.175]], "species": ["C", "C", "Pa", "C", "Re", "Re", "Pa"], "frac_coords": [[0.750, 0.750, 0.251], [0.000, 0.000, 0.000], [0.398, 0.398, 0.193], [0.250, 0.250, 0.749], [0.155, 0.155, 0.335], [0.845, 0.845, 0.665], [0.602, 0.602, 0.807]], "energy_ev_per_fu": -73.789, "volume_a3_per_atom": 14.15}

# 5
{"formula": "Sr6PdPt", "functional": "PBE", "state": "optimized geometry", "lattice": [[10.144, 0.000, 0.000], [0.000, 2.157, 6.966], [0.000, -2.157, 6.966]], "species": ["Pd", "Sr", "Sr", "Sr", "Sr", "Pt", "Sr", "Sr"], "frac_coords": [[0.000, 0.241, 0.241], [0.184, 0.851, 0.851], [0.322, 0.150, 0.150], [0.500, 0.416, 0.416], [0.678, 0.150, 0.150], [0.500, 0.760, 0.760], [0.816, 0.851, 0.851], [0.000, 0.580, 0.580]], "energy_ev_per_fu": -24.947, "volume_a3_per_atom": 38.10}

# 6
{"formula": "CdGaCuNi", "functional": "PBE", "state": "optimized geometry", "lattice": [[0.000, 3.082, 3.082], [3.082, 0.000, 3.082], [3.082, 3.082, 0.000]], "species": ["Cd", "Cu", "Ni", "Ga"], "frac_coords": [[0.250, 0.250, 0.250], [0.750, 0.750, 0.750], [0.500, 0.500, 0.500], [0.000, 0.000, 0.000]], "energy_ev_per_fu": -12.851, "polymorph_energy_mev_per_atom": 141, "volume_a3_per_atom": 14.64}